[1]
This record from Alexandria via LeMat-Bulk describes a geometry-optimized Mn3BeGe structure. The functional is PBEsol.

The structure in extended XYZ format:
```
5
Lattice="3.9321 0.0000 0.0000 0.0000 3.9321 0.0000 0.0000 0.0000 3.9321" Properties=species:S:1:pos:R:3 pbc="T T T"
Mn 0.0000 0.0000 1.9660
Mn 0.0000 1.9660 0.0000
Mn 1.9660 0.0000 0.0000
Be 0.0000 0.0000 0.0000
Ge 1.9660 1.9660 1.9660
```

Formation enthalpy at 0 K, meV per atom: 515

---

[2]
This record from Alexandria via LeMat-Bulk describes a geometry-optimized Mn4Be3Ge3SO12 structure. The functional is PBEsol.

The structure in extended XYZ format:
```
46
Lattice="8.4072 0.0000 0.0000 0.0000 8.4072 0.0000 0.0000 0.0000 8.4072" Properties=species:S:1:pos:R:3 pbc="T T T"
Mn 1.3899 1.3899 1.3899
Mn 1.3899 7.0173 7.0173
Mn 2.8137 2.8137 5.5935
Mn 2.8137 5.5935 2.8137
Mn 5.5935 2.8137 2.8137
Mn 5.5935 5.5935 5.5935
Mn 7.0173 1.3899 7.0173
Mn 7.0173 7.0173 1.3899
Be 0.0000 2.1018 4.2036
Be 0.0000 6.3054 4.2036
Be 2.1018 4.2036 0.0000
Be 4.2036 0.0000 2.1018
Be 4.2036 0.0000 6.3054
Be 6.3054 4.2036 0.0000
Ge 0.0000 4.2036 2.1018
Ge 0.0000 4.2036 6.3054
Ge 2.1018 0.0000 4.2036
Ge 4.2036 2.1018 0.0000
Ge 4.2036 6.3054 0.0000
Ge 6.3054 0.0000 4.2036
S 0.0000 0.0000 0.0000
S 4.2036 4.2036 4.2036
O 0.8063 2.9879 5.3201
O 0.8063 5.4193 3.0871
O 1.1165 1.2157 3.3973
O 1.1165 7.1916 5.0099
O 1.2157 3.3973 1.1165
O 1.2157 5.0099 7.2907
O 2.9879 3.0871 7.6009
O 2.9879 5.3201 0.8063
O 3.0871 0.8063 5.4193
O 3.0871 7.6009 2.9879
O 3.3973 1.1165 1.2157
O 3.3973 7.2907 7.1916
O 5.0099 1.1165 7.1916
O 5.0099 7.2907 1.2157
O 5.3201 0.8063 2.9879
O 5.3201 7.6009 5.4193
O 5.4193 3.0871 0.8063
O 5.4193 5.3201 7.6009
O 7.1916 3.3973 7.2907
O 7.1916 5.0099 1.1165
O 7.2907 1.2157 5.0099
O 7.2907 7.1916 3.3973
O 7.6009 2.9879 3.0871
O 7.6009 5.4193 5.3201
```

Raw formation energy, eV/atom: -1.75

---

[3]
This record from Alexandria via LeMat-Bulk describes a geometry-optimized BeGeMo3 structure. The functional is PBEsol.

The structure in extended XYZ format:
```
5
Lattice="4.5282 0.0000 0.0000 0.0000 4.5282 0.0000 0.0000 0.0000 4.5282" Properties=species:S:1:pos:R:3 pbc="T T T"
Be 0.0000 0.0000 0.0000
Ge 2.2641 2.2641 2.2641
Mo 0.0000 2.2641 2.2641
Mo 2.2641 0.0000 2.2641
Mo 2.2641 2.2641 0.0000
```

Formation enthalpy at 0 K, meV per atom: 1710

---

[4]
This record from Alexandria via LeMat-Bulk describes a geometry-optimized BeGe3Mo structure. The functional is PBEsol.

The structure in extended XYZ format:
```
5
Lattice="4.8282 0.0000 0.0000 0.0000 4.8282 0.0000 0.0000 0.0000 4.8282" Properties=species:S:1:pos:R:3 pbc="T T T"
Be 0.0000 0.0000 0.0000
Ge 0.0000 2.4141 2.4141
Ge 2.4141 0.0000 2.4141
Ge 2.4141 2.4141 0.0000
Mo 2.4141 2.4141 2.4141
```

Formation enthalpy at 0 K, meV per atom: 837